1.
Density functional theory data (PBE-GGA) for crystalline KLa3Au at its relaxed geometry.

SG ... Pm-3m (221)
ΔE_f ... 0.023 eV/atom
Energy above the lowest structure with this stoichiometry ... 0.0 meV/atom

a = 6.011 Å, b = 6.011 Å, c = 6.011 Å
α = 90.00°, β = 90.00°, γ = 90.00°
Positions (direct):
K: 0.000 0.000 0.000
La: 0.000 0.500 0.500
La: 0.500 0.000 0.500
La: 0.500 0.500 0.000
Au: 0.500 0.500 0.500

2.
Density functional theory data (PBE-GGA) for crystalline KLa4Au at its relaxed geometry.

SG ... F-43m (216)
ΔE_f ... 0.400 eV/atom

a = 6.690 Å, b = 6.690 Å, c = 6.690 Å
α = 60.00°, β = 60.00°, γ = 60.00°
Positions (direct):
K: 0.000 0.000 0.000
La: 0.142 0.619 0.619
La: 0.619 0.142 0.619
La: 0.619 0.619 0.142
La: 0.619 0.619 0.619
Au: 0.250 0.250 0.250

3.
Density functional theory data (PBE-GGA) for crystalline KLaAu at its relaxed geometry.

SG ... C2/m (12)
ΔE_f ... -0.421 eV/atom
Energy above the lowest structure with this stoichiometry ... 0.0 meV/atom

a = 6.106 Å, b = 6.105 Å, c = 13.821 Å
α = 90.00°, β = 90.36°, γ = 90.00°
Positions (direct):
K: 0.249 0.000 0.364
K: 0.251 0.500 0.636
K: 0.749 0.500 0.364
K: 0.751 0.000 0.636
La: 0.248 0.000 0.893
La: 0.252 0.500 0.107
La: 0.748 0.500 0.893
La: 0.752 0.000 0.107
Au: 0.248 0.500 0.880
Au: 0.252 0.000 0.120
Au: 0.748 0.000 0.880
Au: 0.752 0.500 0.120

4.
Density functional theory data (PBE-GGA) for crystalline KLaAu3 at its relaxed geometry.

SG ... Pm-3m (221)
ΔE_f ... -0.186 eV/atom
Energy above the lowest structure with this stoichiometry ... 0.0 meV/atom

a = 5.738 Å, b = 5.738 Å, c = 5.738 Å
α = 90.00°, β = 90.00°, γ = 90.00°
Positions (direct):
K: 0.000 0.000 0.000
La: 0.500 0.500 0.500
Au: 0.000 0.500 0.500
Au: 0.500 0.000 0.500
Au: 0.500 0.500 0.000

5.
Density functional theory data (PBE-GGA) for crystalline KNaLa2Au at its relaxed geometry.

SG ... P4/mmm (123)
ΔE_f ... 0.029 eV/atom

a = 5.828 Å, b = 5.828 Å, c = 6.602 Å
α = 90.00°, β = 90.00°, γ = 90.00°
Positions (direct):
K: 0.000 0.000 0.000
Na: 0.500 0.500 0.000
La: 0.000 0.500 0.500
La: 0.500 0.000 0.500
Au: 0.000 0.000 0.500

6.
Density functional theory data (PBE-GGA) for crystalline KLaAuO2 at its relaxed geometry.

SG ... P2/c (13)
Formation energy without anion corrections ... -156.8 kJ/mol of atoms

a = 6.688 Å, b = 5.660 Å, c = 7.211 Å
α = 90.00°, β = 101.80°, γ = 90.00°
Positions (direct):
K: 0.000 0.136 0.250
K: 0.000 0.864 0.750
La: 0.500 0.488 0.750
La: 0.500 0.512 0.250
Au: 0.500 0.000 0.000
Au: 0.500 0.000 0.500
O: 0.311 0.350 0.458
O: 0.311 0.650 0.958
O: 0.689 0.350 0.042
O: 0.689 0.650 0.542

| no. | raw total energy (eV per atom) | D(E_F) (states/eV per atom) |
| --- | --- | --- |
| 1 | -3.8089 | 3.2616 |
| 2 | -3.6142 | 1.3526 |
| 3 | -3.5216 | 0.7936 |
| 4 | -3.3571 | 0.3993 |
| 5 | -3.0806 | 1.2894 |
| 6 | -5.4690 | 0.5281 |